No. 1
The following is a PBE calculation of a relaxed structure of La2Ag2As3, from the Alexandria database.

Cell: 15.8432 4.3969 12.1730 Å, 90.00 125.94 90.00°
With the nearest neighbours (Å) after each atom.
Space group C2/m (No. 12)
One atom of each set of equivalent atoms:
La: 0.1044 0.0000 0.4395 x4  7 As 3.04-3.39, 1 Ag 3.32
La: 0.2393 0.0000 0.8382 x4  6 As 2.99-3.22
Ag: 0.0484 0.5000 0.8182 x4  4 As 2.67-2.76
Ag: 0.0878 0.0000 0.1547 x4  4 As 2.66-2.80
As: 0.0812 0.5000 0.6192 x4  1 As 2.50, 1 Ag 2.76
As: 0.1277 0.0000 0.9708 x4  4 Ag 2.66-2.80
As: 0.1660 0.5000 0.3237 x4  3 Ag 2.76, 3 La 3.04-3.06

* M_tot: 0.00 μB/f.u.
* energy of formation: -877 meV/atom

No. 2
The following is a PBE calculation of a relaxed structure of LaAgAs3, from the Alexandria database.

Cell: 5.0177 5.0177 5.0177 Å, 90.00 90.00 90.00°
With the nearest neighbours (Å) after each atom.
Space group Pm-3m (No. 221)
One atom of each set of equivalent atoms:
La: 0.0000 0.0000 0.0000 x1  12 As 3.55
Ag: 0.5000 0.5000 0.5000 x1  6 As 2.51
As: 0.0000 0.5000 0.5000 x3  2 Ag 2.51

* M_tot: 0.00 μB/f.u.
* offset from the most stable computed form: 0.00 eV/f.u.
* energy of formation: -67 meV/atom